## DyCoOs (PBE-GGA)

Data for crystalline DyCoOs at its relaxed geometry.

Output
As for the formation energy: 0.52 eV per formula unit. The density of states at the Fermi level is 1.3098 states/eV per atom. The space-group type is Cmcm.

Lattice parameters (Å, degrees): 4.9708 5.2848 4.6545 90.00 122.27 90.00
Closest atoms and distances in Å follow each position.
Atoms (fractional coordinates):
Co1 0.7106 0.7500 0.4212  2 Os 2.63, 5 Dy 2.68-2.87
Co2 0.2894 0.2500 0.5788  2 Os 2.63, 5 Dy 2.68-2.87
Os1 0.0000 0.0000 0.0000  2 Co 2.63, 2 Os 2.64
Os2 0.0000 0.5000 0.0000  2 Co 2.63, 2 Os 2.64
Dy1 0.3461 0.7500 0.6921  5 Co 2.68-2.87
Dy2 0.6539 0.2500 0.3079  5 Co 2.68-2.87